# 1
{"formula": "Cs2PuAs2O6", "functional": "PBE", "state": "optimized geometry", "raw_formation_energy_kj_per_mol_atoms": -181.2, "lattice_angstrom": [[6.110, 0.000, 0.000], [-3.055, 5.259, -0.695], [0.000, -3.619, 8.436]], "species": ["O", "O", "O", "O", "O", "O", "Pu", "As", "As", "Cs", "Cs"], "fractional_positions": [[0.788, 0.040, 0.346], [0.212, 0.960, 0.654], [0.747, 0.494, 0.649], [0.252, 0.040, 0.346], [0.253, 0.506, 0.351], [0.748, 0.960, 0.654], [0.500, 0.000, 0.500], [0.944, 0.888, 0.750], [0.056, 0.112, 0.250], [0.726, 0.453, 0.257], [0.274, 0.547, 0.743]]}

# 2
{"formula": "RbNbRhSe3", "functional": "PBE", "state": "optimized geometry", "raw_formation_energy_kj_per_mol_atoms": -79.1, "lattice_angstrom": [[3.728, 0.000, 0.000], [0.000, 8.887, -0.013], [0.000, -4.260, 9.149]], "species": ["Se", "Se", "Se", "Se", "Se", "Se", "Nb", "Nb", "Rb", "Rb", "Rh", "Rh"], "fractional_positions": [[0.250, 0.771, 0.439], [0.750, 0.229, 0.561], [0.750, 0.890, 0.122], [0.250, 0.529, 0.869], [0.750, 0.471, 0.131], [0.250, 0.110, 0.878], [0.250, 0.709, 0.166], [0.750, 0.291, 0.834], [0.750, 0.751, 0.731], [0.250, 0.249, 0.269], [0.750, 0.915, 0.378], [0.250, 0.085, 0.622]]}

# 3
{"formula": "Ta2H3Rh2", "functional": "PBE", "state": "optimized geometry", "total_energy_ev_per_cell": -50.09, "lattice_angstrom": [[2.735, 0.000, -1.015], [-0.626, 4.629, -1.688], [0.681, -1.436, 6.030]], "species": ["Rh", "Rh", "H", "H", "H", "Ta", "Ta"], "fractional_positions": [[0.141, 0.441, 0.282], [0.859, 0.559, 0.718], [0.197, 0.858, 0.393], [0.803, 0.142, 0.607], [0.000, 0.000, 0.000], [0.599, 0.897, 0.198], [0.401, 0.103, 0.802]]}

# 4
{"formula": "Sr2AcAl", "functional": "PBE", "state": "optimized geometry", "formation_energy_mev_per_atom": 205, "lattice_angstrom": [[-3.240, 0.958, -2.008], [-3.067, -2.457, -0.071], [-6.846, 5.122, 9.642]], "species": ["Sr", "Sr", "Al", "Ac"], "fractional_positions": [[0.102, 0.102, 0.693], [0.898, 0.898, 0.307], [0.500, 0.500, 0.500], [0.000, 0.000, 0.000]]}

# 5
{"formula": "CaTc", "functional": "PBE", "state": "optimized geometry", "formation_energy_mev_per_atom": 1107, "lattice_angstrom": [[-1.255, -5.420, -0.693], [4.749, -1.434, 2.613], [-2.703, -0.002, 4.912]], "species": ["Ca", "Ca", "Ca", "Ca", "Tc", "Tc", "Tc", "Tc"], "fractional_positions": [[0.593, 0.907, 0.093], [0.407, 0.407, 0.407], [0.093, 0.593, 0.907], [0.907, 0.093, 0.593], [0.606, 0.394, 0.894], [0.894, 0.606, 0.394], [0.394, 0.894, 0.606], [0.106, 0.106, 0.106]]}

# 6
{"formula": "NaCaPb", "functional": "PBE", "state": "optimized geometry", "formation_energy_mev_per_atom": -338, "lattice_angstrom": [[-4.395, 8.544, -0.282], [-1.151, -0.842, -7.588], [-4.832, -2.563, -2.332]], "species": ["Pb", "Pb", "Pb", "Pb", "Ca", "Ca", "Ca", "Ca", "Na", "Na", "Na", "Na"], "fractional_positions": [[0.555, 0.783, 0.490], [0.945, 0.283, 0.990], [0.055, 0.717, 0.010], [0.445, 0.217, 0.510], [0.906, 0.782, 0.469], [0.406, 0.718, 0.031], [0.594, 0.282, 0.969], [0.094, 0.218, 0.531], [0.242, 0.536, 0.694], [0.742, 0.964, 0.806], [0.758, 0.464, 0.306], [0.258, 0.036, 0.194]]}

# 7
{"formula": "Y3ScNi", "functional": "PBE", "state": "optimized geometry", "formation_energy_mev_per_atom": 43, "lattice_angstrom": [[-2.568, -2.467, 3.902], [1.842, -4.641, -1.723], [4.233, 0.523, 3.116]], "species": ["Y", "Y", "Y", "Sc", "Ni"], "fractional_positions": [[0.500, 0.000, 0.000], [0.000, 0.500, 0.000], [0.000, 0.000, 0.500], [0.500, 0.500, 0.500], [0.000, 0.000, 0.000]]}

# 8
{"formula": "ScTa4Hg", "functional": "PBE", "state": "optimized geometry", "formation_energy_mev_per_atom": 307, "lattice_angstrom": [[0.000, 3.932, 3.932], [3.932, 0.000, 3.932], [3.932, 3.932, 0.000]], "species": ["Ta", "Ta", "Ta", "Ta", "Hg", "Sc"], "fractional_positions": [[0.882, 0.373, 0.373], [0.373, 0.882, 0.373], [0.373, 0.373, 0.373], [0.373, 0.373, 0.882], [0.750, 0.750, 0.750], [0.000, 0.000, 0.000]]}

no.,total magnetic moment (μB per cell),N(E_F) (states/eV per cell)
1,4.00,6.2
2,0.00,9.3
3,0.00,2.4
4,0.00,4.5
5,7.48,13.4
6,0.00,3.3
7,1.93,11.4
8,0.00,6.6